This record from Alexandria via LeMat-Bulk describes crystalline Ca3Al7Ir4 at its relaxed geometry. The functional is PBE.

Values from the calculation:
Volume, Å³ per cell: 519.86
DFT formation energy, kJ per mole of atoms: -63.6
DOS at the Fermi energy, states/eV per atom: 0.43

Unit cell a=15.6470 b=4.2473 c=9.5460 alpha=90.00 beta=124.97 gamma=90.00
Last column: nearest neighbours and their distance in Å.
Space group C2/m (No. 12)
Unique sites:
Ca 0.0000 0.0000 0.0000 (multiplicity 2)  6 Ir 3.03-3.23, 2 Al 3.31
Ca 0.1914 0.5000 0.6989 (multiplicity 4)  4 Ir 3.04, 10 Al 3.04-3.34
Al 0.0000 0.0000 0.5000 (multiplicity 2)  2 Ir 2.52
Al 0.0036 0.5000 0.2807 (multiplicity 4)  3 Ir 2.49-2.57, 1 Al 2.74
Al 0.1632 0.0000 0.4221 (multiplicity 4)  3 Ir 2.51-2.55
Al 0.1880 0.5000 0.0271 (multiplicity 4)  4 Ir 2.63-2.68, 1 Al 2.74
Ir 0.1092 0.0000 0.8217 (multiplicity 4)  6 Al 2.52-2.67
Ir 0.1636 0.5000 0.2830 (multiplicity 4)  5 Al 2.49-2.68